11
Lattice="6.2997 -4.8445 0.0000 6.2997 4.8445 0.0000 -1.0360 0.0000 6.2747" Properties=species:S:1:pos:R:3 comment="MgTl2Cl8 | Alexandria via LeMat-Bulk | PBE | optimized geometry" dos_ef_per_ev_cell=0.000 energy_ev_per_atom=-2.86 de_polymorph_mev_per_atom=0 formation_energy_uncorrected_ev_per_atom=-0.946 pbc="T T T"
Mg 0.0000 0.0000 0.0000
Tl 1.8613 0.0000 4.1825
Tl 9.7021 0.0000 2.0922
Cl 5.0142 3.0815 1.2865
Cl 1.9666 0.0000 1.6686
Cl 6.5493 3.0815 4.9881
Cl 4.1362 0.0000 4.9027
Cl 7.4272 0.0000 1.3720
Cl 5.0142 -3.0815 1.2865
Cl 9.5969 0.0000 4.6061
Cl 6.5493 -3.0815 4.9881



3
Lattice="5.1383 0.0000 0.0000 -2.5692 4.4499 0.0000 0.0000 0.0000 2.8020" Properties=species:S:1:pos:R:3 comment="KZrCo | Alexandria via LeMat-Bulk | PBE | optimized geometry" dos_ef_per_ev_cell=3.504 energy_ev_per_atom=-4.42 de_polymorph_mev_per_atom=728 pbc="T T T"
K 0.0000 0.0000 0.0000
Zr 2.5692 1.4833 0.7776
Co 0.0000 2.9666 1.7740



8
Lattice="4.7710 0.0000 0.0000 0.0000 4.7710 0.0000 0.0000 0.0000 10.5814" Properties=species:S:1:pos:R:3 comment="Sr2TaAg | Alexandria via LeMat-Bulk | PBE | optimized geometry" dos_ef_per_ev_cell=5.580 energy_ev_per_atom=-3.67 de_polymorph_mev_per_atom=305 pbc="T T T"
Sr 0.0000 0.0000 0.0000
Sr 0.0000 2.3855 2.6453
Sr 2.3855 0.0000 7.9360
Sr 2.3855 2.3855 5.2907
Ta 0.0000 2.3855 7.9360
Ta 2.3855 0.0000 2.6453
Ag 0.0000 0.0000 5.2907
Ag 2.3855 2.3855 0.0000



4
Lattice="2.9097 0.0000 0.0000 0.0000 2.9097 0.0000 0.0000 0.0000 6.7941" Properties=species:S:1:pos:R:3 comment="Tc2GeIr | Alexandria via LeMat-Bulk | PBE | optimized geometry" dos_ef_per_ev_cell=3.294 energy_ev_per_atom=-8.60 pbc="T T T"
Tc 0.0000 0.0000 1.5688
Tc 0.0000 0.0000 5.2254
Ge 1.4549 1.4549 0.0000
Ir 1.4549 1.4549 3.3971



10
Lattice="4.8381 0.0000 0.0000 0.0000 4.8381 0.0000 0.0000 0.0000 16.7458" Properties=species:S:1:pos:R:3 comment="Rb2HgS2 | Alexandria via LeMat-Bulk | PBE | optimized geometry" dos_ef_per_ev_cell=4.816 energy_ev_per_atom=-2.25 formation_energy_uncorrected_ev_per_atom=-0.150 pbc="T T T"
Rb 0.0000 0.0000 2.1994
Rb 0.0000 0.0000 14.5464
Rb 2.4191 2.4191 6.1735
Rb 2.4191 2.4191 10.5723
Hg 0.0000 0.0000 8.3729
Hg 2.4191 2.4191 0.0000
S 0.0000 2.4191 4.1865
S 0.0000 2.4191 12.5594
S 2.4191 0.0000 4.1865
S 2.4191 0.0000 12.5594



14
Lattice="6.3498 0.0000 0.0000 0.0000 6.1096 0.0000 -2.2633 0.0000 9.0469" Properties=species:S:1:pos:R:3 comment="LiTlPS4 | Alexandria via LeMat-Bulk | PBE | optimized geometry" dos_ef_per_ev_cell=1.695 energy_ev_per_atom=-4.19 formation_energy_uncorrected_ev_per_atom=-0.446 pbc="T T T"
Li 0.8834 1.5274 0.3358
Li 3.2031 4.5822 8.7112
Tl 0.0929 1.5274 4.8001
Tl 3.9937 4.5822 4.2468
P -0.3236 4.5822 7.2363
P 4.4102 1.5274 1.8106
S -1.6630 0.0377 7.2441
S -1.6630 3.0171 7.2441
S 0.8428 4.5822 5.5962
S 0.7515 4.5822 9.0288
S 3.3350 1.5274 0.0181
S 3.2437 1.5274 3.4507
S 5.7495 3.0925 1.8028
S 5.7495 6.0718 1.8028



14
Lattice="4.3685 2.5221 6.5764 -4.3685 2.5221 6.5764 0.0000 -5.0443 6.5764" Properties=species:S:1:pos:R:3 comment="Ce3ErTh3 | Alexandria via LeMat-Bulk | PBE | optimized geometry" dos_ef_per_ev_cell=35.675 energy_ev_per_atom=-6.11 pbc="T T T"
Ce -1.9384 -0.2263 5.6561
Ce 1.1652 -1.5656 5.6561
Ce 0.7732 1.7919 5.6561
Ce -0.7732 -1.7919 14.0732
Ce -1.1652 1.5656 14.0732
Ce 1.9384 0.2263 14.0732
Er 0.0000 0.0000 8.3197
Er 0.0000 0.0000 11.4096
Th -2.4000 -2.2094 10.7179
Th -3.1134 0.9737 9.0113
Th 0.7134 -3.1831 9.0113
Th -0.7134 3.1831 10.7179
Th 3.1134 -0.9737 10.7179
Th 2.4000 2.2094 9.0113



10
Lattice="-3.5106 5.2556 2.8764 3.5106 -5.2556 2.8764 3.5106 5.2556 -2.8764" Properties=species:S:1:pos:R:3 comment="Mg3Ga2 | Alexandria via LeMat-Bulk | PBE | optimized geometry" dos_ef_per_ev_cell=3.992 energy_ev_per_atom=-2.23 pbc="T T T"
Mg 4.6366 2.1902 0.0000
Mg 0.0000 0.0000 1.4382
Mg 1.1260 3.0654 0.0000
Mg 2.3846 2.1902 2.8764
Mg 0.0000 0.0000 4.3146
Mg -1.1260 3.0654 2.8764
Ga 2.3330 0.6230 0.0000
Ga 2.3330 -0.6230 2.8764
Ga 1.1775 5.8786 0.0000
Ga 1.1775 4.6325 2.8764



6
Lattice="0.0000 4.1819 4.1819 4.1819 0.0000 4.1819 4.1819 4.1819 0.0000" Properties=species:S:1:pos:R:3 comment="Y4MoW | Alexandria via LeMat-Bulk | PBE | optimized geometry" dos_ef_per_ev_cell=10.202 energy_ev_per_atom=-7.00 pbc="T T T"
Y 1.0473 1.0473 1.0473
Y 3.1345 3.1345 1.0473
Y 3.1345 1.0473 3.1345
Y 1.0473 3.1345 3.1345
Mo 6.2728 6.2728 6.2728
W 4.1819 4.1819 4.1819



5
Lattice="6.1071 0.0000 0.0000 0.0000 6.1071 0.0000 0.0000 0.0000 6.1071" Properties=species:S:1:pos:R:3 comment="KBe3I | Alexandria via LeMat-Bulk | PBE | optimized geometry" dos_ef_per_ev_cell=0.000 energy_ev_per_atom=-0.89 de_polymorph_mev_per_atom=357 formation_energy_uncorrected_ev_per_atom=1.871 pbc="T T T"
K 0.0000 0.0000 0.0000
Be 0.0000 0.0000 3.0535
Be 0.0000 3.0535 0.0000
Be 3.0535 0.0000 0.0000
I 3.0535 3.0535 3.0535



5
Lattice="5.4739 0.0000 0.0000 0.0000 5.4739 0.0000 0.0000 0.0000 4.9804" Properties=species:S:1:pos:R:3 comment="SrTiAl2Pd | Alexandria via LeMat-Bulk | PBE | optimized geometry" dos_ef_per_ev_cell=5.994 energy_ev_per_atom=-2.92 pbc="T T T"
Sr 0.0000 0.0000 0.0000
Ti 2.7369 2.7369 2.4902
Al 0.0000 2.7369 0.0000
Al 2.7369 0.0000 0.0000
Pd 0.0000 0.0000 2.4902



4
Lattice="3.1479 0.0000 0.0000 0.0000 3.3361 0.0000 0.0000 0.0000 6.9893" Properties=species:S:1:pos:R:3 comment="BaSiNi2 | Alexandria via LeMat-Bulk | PBE | optimized geometry" dos_ef_per_ev_cell=3.958 energy_ev_per_atom=-4.62 formation_energy_uncorrected_ev_per_atom=0.105 pbc="T T T"
Ba 0.0000 0.0000 0.0000
Si 1.5740 1.6680 4.4668
Ni 0.0000 0.0000 3.5011
Ni 1.5740 1.6680 2.2556



12
Lattice="4.4039 0.0000 0.0000 -2.2019 3.8139 0.0000 0.0000 0.0000 12.2561" Properties=species:S:1:pos:R:3 comment="HoZn2Pd3 | Alexandria via LeMat-Bulk | PBE | optimized geometry" dos_ef_per_ev_cell=3.662 energy_ev_per_atom=-4.50 pbc="T T T"
Ho 0.0000 0.0000 3.0640
Ho 0.0000 0.0000 9.1921
Zn 0.0000 2.5426 0.9991
Zn 0.0000 2.5426 5.1290
Zn 2.2019 1.2713 7.1272
Zn 2.2019 1.2713 11.2571
Pd 0.0000 0.0000 0.0000
Pd 0.0000 0.0000 6.1281
Pd 0.0000 2.5426 7.7207
Pd 0.0000 2.5426 10.6635
Pd 2.2019 1.2713 1.5927
Pd 2.2019 1.2713 4.5354